Entry 1:
In4CuSnS8 | PBE | relaxed

Cell lengths 7.7320, 7.7320, 18.6928 Å; angles 90.00, 90.00, 120.00 degrees
Space group R3m (No. 160, hexagonal axes)
Symmetry-distinct sites (fractional):
In 0.0000 0.0000 0.0000 [3 per cell]
In 0.1742 0.3484 0.2085 [9 per cell]
Cu 0.0000 0.0000 0.7544 [3 per cell]
Sn 0.0000 0.0000 0.3829 [3 per cell]
S 0.0000 0.0000 0.1362 [3 per cell]
S 0.0000 0.0000 0.6242 [3 per cell]
S 0.0009 0.5004 0.1286 [9 per cell]
S 0.1778 0.3556 0.9566 [9 per cell]

Summary:
Volume in Å³/cell: 968
Formation energy from raw total energies in eV/atom: -0.474
Energy in eV/atom: -4.194


Entry 2:
Tb2InCuS5 | PBE | relaxed

Cell lengths 3.831, 16.286, 11.509 Å; angles 90.00, 90.00, 90.00 degrees
Space group Cmc2_1 (No. 36)
Symmetry-distinct sites (fractional):
Tb 0.000 0.112 0.000 [4 per cell]
Tb 0.000 0.121 0.614 [4 per cell]
In 0.000 0.192 0.315 [4 per cell]
Cu 0.000 0.500 0.300 [4 per cell]
S 0.000 0.043 0.384 [4 per cell]
S 0.000 0.289 0.979 [4 per cell]
S 0.000 0.299 0.655 [4 per cell]
S 0.000 0.354 0.314 [4 per cell]
S 0.000 0.496 0.603 [4 per cell]

Summary:
Volume in Å³/cell: 718
Formation energy from raw total energies in eV/atom: -1.291
Energy in eV/atom: -5.373


Entry 3:
Tb2InCuS4 | PBE | relaxed

Cell lengths 3.957, 13.602, 13.779 Å; angles 90.00, 90.00, 90.00 degrees
Space group Cmcm (No. 63)
Symmetry-distinct sites (fractional):
Tb 0.000 0.134 0.063 [8 per cell]
In 0.000 0.394 0.250 [4 per cell]
Cu 0.000 0.335 0.750 [4 per cell]
S 0.000 0.069 0.250 [4 per cell]
S 0.000 0.237 0.611 [8 per cell]
S 0.000 0.500 0.000 [4 per cell]

Summary:
Volume in Å³/cell: 742
Formation energy from raw total energies in eV/atom: -1.409
Energy in eV/atom: -5.484